{
  "formula": "Ca2LaPS",
  "functional": "GGA-PBEsol",
  "state": "optimized geometry",
  "lattice": [[5.067, 0.000, 0.000], [0.000, 5.067, 0.000], [0.000, 0.000, 5.427]],
  "species": ["Ca", "Ca", "La", "P", "S"],
  "fractional_positions": [[0.000, 0.500, 0.000], [0.500, 0.000, 0.000], [0.000, 0.000, 0.500], [0.500, 0.500, 0.500], [0.000, 0.000, 0.000]],
  "formation_energy_uncorrected_ev_per_fu": -4.2,
  "dos_ef_per_ev_fu": 3.9
}